The following is a DFT calculation (PBE+U) of a relaxed Na2PmNiF8 crystal.

abc: 4.4337 6.9639 5.3851
angles: 90.00 92.28 90.00
With the nearest neighbours (Å) after each atom.
Fractional positions:
Na: 0.0000 0.2322 0.0000  6 F 2.32
Na: 0.0000 0.7678 0.0000  6 F 2.32
Pm: 0.5000 0.5000 0.5000  6 F 2.25-2.34
Ni: 0.5000 0.0000 0.5000  6 F 1.85-1.99
F: 0.0794 0.5000 0.2518  1 Pm 2.25, 2 Na 2.32
F: 0.1642 0.0000 0.2843  1 Ni 1.85
F: 0.3707 0.2188 0.7081  1 Ni 1.99
F: 0.3707 0.7812 0.7081  1 Ni 1.99
F: 0.6293 0.2188 0.2919  1 Ni 1.99
F: 0.6293 0.7812 0.2919  1 Ni 1.99
F: 0.8358 0.0000 0.7157  1 Ni 1.85
F: 0.9206 0.5000 0.7482  1 Pm 2.25, 2 Na 2.32

Computed properties:
- ρ (kg/m3) = 4015
- calculated total energy (eV per cell) = -58.77
- Fermi-level density of states (states/eV/f.u.) = 0.00
- SG = No. 10